# Tb5In4Pd, optimized geometry, DFT PBE-GGA
# - N(E_F) (states/eV/cell) = 4.4
# - VASP energy (Ha/atom) = -0.165
# - ρ (g cm⁻³) = 8.7
data_Tb5In4Pd
_chemical_formula_sum 'Tb5 In4 Pd1'
_symmetry_space_group_name_H-M 'P 4/m m m'
_symmetry_Int_Tables_number 123
_symmetry_space_group_name_Hall '-P 4 2'
_cell_length_a 3.552
_cell_length_b 3.552
_cell_length_c 20.475
_cell_angle_alpha 90.00
_cell_angle_beta 90.00
_cell_angle_gamma 90.00
loop_
_atom_site_label
_atom_site_fract_x
_atom_site_fract_y
_atom_site_fract_z
Tb1 0.000 0.000 0.000
Tb2 0.000 0.000 0.208
Tb3 0.000 0.000 0.416
In1 0.500 0.500 0.104
In2 0.500 0.500 0.311
Pd1 0.500 0.500 0.500